Rb4In2S5: optimized geometry, PBE.

Summary:
total moment = 0.1 μB/f.u.
formation energy from raw total energies = -1.013 eV per atom
DOS at the Fermi energy = 0.0 states/eV/cell

Unit cell a=7.7427 b=9.5210 c=11.0143 alpha=72.78 beta=70.68 gamma=85.51
Space group P-1 (No. 2)
Inequivalent atoms, fractional coordinates:
Rb: 0.0035 0.2944 0.4163
Rb: 0.0473 0.6871 0.0436
Rb: 0.2755 0.9747 0.1624
Rb: 0.3959 0.3156 0.5923
In: 0.3774 0.9079 0.6695
In: 0.4685 0.5008 0.1594
S: 0.2364 0.0207 0.8485
S: 0.2434 0.6111 0.3145
S: 0.2882 0.0236 0.4578
S: 0.3055 0.6368 0.7298
S: 0.3243 0.3470 0.0652